Zr2TaMo: optimized geometry, PBE.

abc: 3.0758 4.5526 5.7951
angles: 90.00 102.92 90.00
Last column: nearest neighbours and their distance in Å.
Space group Pm (No. 6)
Asymmetric unit:
Zr1 0.0000 0.0000 0.0000 x1  2 Mo 2.83, 3 Ta 2.89-3.16, 4 Zr 3.06-3.08
Zr2 0.3020 0.5000 0.7201 x1  2 Mo 2.85-3.08, 2 Ta 3.00, 4 Zr 3.06-3.08
Ta1 0.6082 0.0000 0.4601 x1  2 Mo 2.72, 3 Zr 2.89-3.00
Mo1 0.7947 0.5000 0.2448 x1  2 Ta 2.72, 3 Zr 2.83-2.85

Output
DOS at the Fermi energy: 5.0 states/eV/cell
ΔE_f: 0.06 eV/atom